Na3Mn2InO6 after structural relaxation, computed with GGA+U.

Structure (POSCAR):
```
Na3Mn2InO6
1.0
-4.900 -2.150 0.599
3.848 -0.921 3.652
-1.228 5.400 1.346
O Na Mn In
6 3 2 1
direct
0.071 0.423 0.200
0.287 0.287 0.797
0.577 0.929 0.800
0.423 0.071 0.200
0.929 0.577 0.800
0.713 0.713 0.203
0.832 0.168 0.500
0.500 0.500 0.500
0.168 0.832 0.500
0.666 0.334 0.000
0.334 0.666 0.000
0.000 0.000 0.000
```

Computed properties:
- total DFT energy (no corrections) (eV/atom) = -5.710